Entry from Alexandria via LeMat-Bulk: a relaxed structure of MnPdPbO4 (PBE+U).

Cell lengths 5.8194, 8.4906, 8.6166 Å; angles 90.00, 90.00, 90.00 degrees
Last column: nearest neighbours and their distance in Å.
Space group Imma (No. 74)
Asymmetric unit:
Mn (0.0000, 0.2500, 0.1055) x4  4 O 1.68-1.79
Pd (0.2500, 0.2500, 0.7500) x4  2 O 2.00
Pb (0.0000, 0.0000, 0.5000) x4  6 O 2.58-2.61
O (0.0000, 0.0815, 0.2077) x8  1 Mn 1.68
O (0.2488, 0.2500, 0.9827) x8  1 Mn 1.79, 1 Pd 2.00

Properties
* magnetic moment: 7.05 μB/cell
* crystal system: orthorhombic
* raw total energy: -164.894 eV for the cell shown
* N(E_F): 0.27 states/eV per atom